A relaxed CrCuTcF crystal. Source: the Alexandria database, functional PBE with a Hubbard U.

- Crystal system: triclinic
- Polymorph energy (0 for the lowest one): 0 meV/atom

a b c (Å): 2.6462 4.1499 6.3221
angles (deg): 90.16 90.08 90.00
Closest atoms and distances in Å follow each position.
Space group P1 (No. 1)
Unique sites:
Cr: 0.0000 0.0000 0.0000 (multiplicity 1)  2 F 2.03
Cu: 0.0006 0.4989 0.7276 (multiplicity 1)  4 Tc 2.56-2.57, 2 Cu 2.65, 2 Cr 2.70
Tc: 0.4999 0.9984 0.6132 (multiplicity 1)  1 F 2.34, 4 Cu 2.56-2.57
F: 0.5007 0.0017 0.2432 (multiplicity 1)  2 Cr 2.03